# ZnFeRe2S (PBE-GGA, relaxed)
# * raw formation energy: 2.49 eV per atom
# * energy above the lowest structure with this stoichiometry: 343.3 meV per atom
# * calculated total energy: -5.258 eV/atom
data_ZnFeRe2S
_space_group_name_H-M_alt 'P 4/m m m'
_space_group_IT_number 123
_space_group_name_Hall '-P 4 2'
_cell_length_a 4.646
_cell_length_b 4.646
_cell_length_c 4.217
_cell_angle_alpha 90.00
_cell_angle_beta 90.00
_cell_angle_gamma 90.00
loop_
_atom_site_label
_atom_site_type_symbol
_atom_site_fract_x
_atom_site_fract_y
_atom_site_fract_z
_atom_site_occupancy
Zn1 Zn 0.000 0.000 0.000 1
Fe1 Fe 0.500 0.500 0.500 1
Re1 Re 0.000 0.500 0.000 1
S1 S 0.000 0.000 0.500 1